Below is crystalline Ac5La8Nd at its relaxed geometry, with properties calculated at the PBE level.

Computed properties:
- Energy relative to the elements: 22 meV per atom
- Symmetry: P1, No. 1
- Magnetic moment: 0.0 μB/f.u.

a b c (Å): 6.6268 10.1152 10.1171
angles (deg): 60.01 70.88 77.43
With the nearest neighbours (Å) after each atom.
Sites, in units of the cell vectors:
Ac (0.0000, 0.0000, 0.0000)  7 La 3.79-3.90, 4 Ac 3.82-3.88, 1 Nd 3.83
Ac (0.0006, 0.1413, 0.5717)  9 La 3.76-3.89, 1 Nd 3.81, 2 Ac 3.82-3.84
Ac (0.5026, 0.4901, 0.0006)  10 La 3.78-3.87, 1 Nd 3.80, 1 Ac 3.86
Ac (0.5037, 0.7769, 0.1470)  7 La 3.80-3.89, 1 Nd 3.84, 4 Ac 3.85-3.88
Ac (0.9946, 0.8507, 0.4340)  7 La 3.78-3.87, 2 Nd 3.81-3.85, 3 Ac 3.84-3.88
La (0.0054, 0.7054, 0.8603)  6 La 3.77-3.88, 6 Ac 3.80-3.89
La (0.0072, 0.4264, 0.7135)  8 La 3.75-3.89, 4 Ac 3.78-3.82
La (0.4963, 0.2123, 0.8554)  6 La 3.75-3.89, 5 Ac 3.78-3.89, 1 Nd 3.87
La (0.4999, 0.6326, 0.5760)  7 La 3.75-3.84, 4 Ac 3.79-3.86, 1 Nd 3.86
La (0.4995, 0.9231, 0.7145)  6 Ac 3.78-3.86, 1 Nd 3.79, 5 La 3.80-3.88
La (0.5013, 0.3489, 0.4326)  7 La 3.77-3.84, 4 Ac 3.80-3.86, 1 Nd 3.81
La (0.9983, 0.5629, 0.2897)  6 Ac 3.76-3.90, 6 La 3.78-3.84
La (0.9987, 0.2838, 0.1438)  5 La 3.77-3.83, 5 Ac 3.79-3.87, 2 Nd 3.84
Nd (0.4982, 0.0659, 0.2893)  6 La 3.79-3.87, 6 Ac 3.80-3.85

=====

Below is crystalline Ac2LaNd at its relaxed geometry, with properties calculated at the PBE level.

Computed properties:
- Energy relative to the elements: 25 meV per atom
- Symmetry: R-3m, No. 166
- Magnetic moment: 0.0 μB/f.u.
- Offset from the most stable computed form: 0.008 eV/atom

a b c (Å): 3.8778 3.8778 37.2683
angles (deg): 90.00 90.00 120.00
With the nearest neighbours (Å) after each atom.
Sites, in units of the cell vectors:
Ac (0.0000, 0.0000, 0.2491)  3 Nd 3.80, 3 La 3.85, 6 Ac 3.88
Ac (0.0000, 0.0000, 0.7509)  3 Nd 3.80, 3 La 3.85, 6 Ac 3.88
Ac (0.3333, 0.6667, 0.4175)  3 Nd 3.80, 3 La 3.85, 6 Ac 3.88
Ac (0.3333, 0.6667, 0.9158)  3 Nd 3.80, 3 La 3.85, 6 Ac 3.88
Ac (0.6667, 0.3333, 0.0842)  3 Nd 3.80, 3 La 3.85, 6 Ac 3.88
Ac (0.6667, 0.3333, 0.5825)  3 Nd 3.80, 3 La 3.85, 6 Ac 3.88
La (0.0000, 0.0000, 0.0000)  6 Ac 3.85, 6 La 3.88
La (0.3333, 0.6667, 0.6667)  6 Ac 3.85, 6 La 3.88
La (0.6667, 0.3333, 0.3333)  6 Ac 3.85, 6 La 3.88
Nd (0.0000, 0.0000, 0.5000)  6 Ac 3.80, 6 Nd 3.88
Nd (0.3333, 0.6667, 0.1667)  6 Ac 3.80, 6 Nd 3.88
Nd (0.6667, 0.3333, 0.8333)  6 Ac 3.80, 6 Nd 3.88

=====

Below is crystalline Ac2LaNd at its relaxed geometry, with properties calculated at the PBE level.

Computed properties:
- Energy relative to the elements: 17 meV per atom
- Symmetry: P4/mmm, No. 123
- Magnetic moment: 0.0 μB/f.u.
- Offset from the most stable computed form: 0.000 eV/atom

a b c (Å): 5.4675 5.4675 5.3736
angles (deg): 90.00 90.00 90.00
With the nearest neighbours (Å) after each atom.
Sites, in units of the cell vectors:
Ac (0.0000, 0.5000, 0.0000)  4 Nd 3.83, 4 La 3.83, 4 Ac 3.87
Ac (0.5000, 0.0000, 0.0000)  4 Nd 3.83, 4 La 3.83, 4 Ac 3.87
La (0.0000, 0.0000, 0.5000)  8 Ac 3.83, 4 Nd 3.87
Nd (0.5000, 0.5000, 0.5000)  8 Ac 3.83, 4 La 3.87